MnFe2Si: optimized geometry, PBE-GGA.

Lattice parameters (Å, degrees): 3.818 3.818 11.443 90.00 90.00 120.00
Fractional positions:
Mn1 0.000 0.000 0.000
Mn2 0.333 0.667 0.667
Mn3 0.667 0.333 0.333
Fe1 0.000 0.000 0.584
Fe2 0.000 0.000 0.782
Fe3 0.333 0.667 0.251
Fe4 0.333 0.667 0.449
Fe5 0.667 0.333 0.116
Fe6 0.667 0.333 0.918
Si1 0.000 0.000 0.207
Si2 0.333 0.667 0.873
Si3 0.667 0.333 0.540

Raw formation energy ... 0.011 eV/atom
Symmetry ... R3m

***

BeCu2: optimized geometry, PBE-GGA.

Lattice parameters (Å, degrees): 2.508 2.508 12.186 90.00 90.00 120.00
Fractional positions:
Be1 0.333 0.667 0.250
Be2 0.667 0.333 0.750
Cu1 0.000 0.000 0.100
Cu2 0.000 0.000 0.400
Cu3 0.000 0.000 0.600
Cu4 0.000 0.000 0.900

Energy of formation from the pure elements ... 0.0937 eV/atom
Symmetry ... P6_3/mmc

***

Na3TbPb4: optimized geometry, PBE-GGA.

Lattice parameters (Å, degrees): 18.822 5.017 5.017 90.00 105.40 90.00
Fractional positions:
Na1 0.000 0.000 0.000
Na2 0.248 0.500 0.749
Na3 0.252 0.000 0.251
Na4 0.500 0.500 0.000
Na5 0.748 0.000 0.749
Na6 0.752 0.500 0.251
Tb1 0.000 0.500 0.500
Tb2 0.500 0.000 0.500
Pb1 0.121 0.000 0.620
Pb2 0.121 0.500 0.122
Pb3 0.379 0.000 0.878
Pb4 0.379 0.500 0.380
Pb5 0.621 0.000 0.122
Pb6 0.621 0.500 0.620
Pb7 0.879 0.000 0.380
Pb8 0.879 0.500 0.878

Energy of formation from the pure elements ... -0.2335 eV/atom
Symmetry ... C2/m

***

PuBiPd2: optimized geometry, PBE-GGA.

Lattice parameters (Å, degrees): 6.998 6.998 6.998 90.00 90.00 90.00
Fractional positions:
Pu1 0.000 0.000 0.000
Pu2 0.000 0.500 0.500
Pu3 0.500 0.000 0.500
Pu4 0.500 0.500 0.000
Bi1 0.000 0.000 0.500
Bi2 0.000 0.500 0.000
Bi3 0.500 0.000 0.000
Bi4 0.500 0.500 0.500
Pd1 0.250 0.250 0.250
Pd2 0.250 0.250 0.750
Pd3 0.250 0.750 0.250
Pd4 0.250 0.750 0.750
Pd5 0.750 0.250 0.250
Pd6 0.750 0.250 0.750
Pd7 0.750 0.750 0.250
Pd8 0.750 0.750 0.750

Energy above the lowest structure with this stoichiometry ... 0.006 eV per atom
Energy of formation from the pure elements ... -0.4299 eV/atom
Symmetry ... Fm-3m

***

Ta2NbBr8: optimized geometry, PBE-GGA.

Lattice parameters (Å, degrees): 8.129 8.129 6.259 95.20 95.20 82.81
Fractional positions:
Ta1 0.178 0.178 0.327
Ta2 0.822 0.822 0.673
Nb1 0.000 0.000 0.000
Br1 0.111 0.695 0.775
Br2 0.156 0.156 0.724
Br3 0.305 0.889 0.225
Br4 0.368 0.368 0.240
Br5 0.632 0.632 0.760
Br6 0.695 0.111 0.775
Br7 0.844 0.844 0.276
Br8 0.889 0.305 0.225

Raw formation energy ... -0.509 eV/atom
Symmetry ... C2/m

***

TlSnAs2Br: optimized geometry, PBE-GGA.

Lattice parameters (Å, degrees): 5.313 5.313 5.911 90.00 90.00 90.00
Fractional positions:
Tl1 0.000 0.000 0.000
Sn1 0.500 0.500 0.500
As1 0.000 0.500 0.500
As2 0.500 0.000 0.500
Br1 0.500 0.500 0.000

Energy above the lowest structure with this stoichiometry ... 0.000 eV per atom
Raw formation energy ... 0.277 eV/atom
Symmetry ... P4/mmm

***

CsIn3Se3: optimized geometry, PBE-GGA.

Lattice parameters (Å, degrees): 9.616 9.616 9.616 54.24 54.24 54.24
Fractional positions:
Cs1 0.167 0.167 0.167
Cs2 0.833 0.833 0.833
In1 0.067 0.378 0.705
In2 0.295 0.933 0.622
In3 0.378 0.705 0.067
In4 0.622 0.295 0.933
In5 0.705 0.067 0.378
In6 0.933 0.622 0.295
Se1 0.051 0.741 0.403
Se2 0.259 0.597 0.949
Se3 0.403 0.051 0.741
Se4 0.597 0.949 0.259
Se5 0.741 0.403 0.051
Se6 0.949 0.259 0.597

Raw formation energy ... -0.487 eV/atom
Symmetry ... R-3

***

KRe2Pb: optimized geometry, PBE-GGA.

Lattice parameters (Å, degrees): 8.196 3.146 8.115 90.00 96.29 90.00
Fractional positions:
K1 0.000 0.000 0.000
K2 0.500 0.500 0.000
Re1 0.270 0.500 0.323
Re2 0.491 0.000 0.422
Re3 0.770 0.000 0.323
Re4 0.991 0.500 0.422
Pb1 0.234 0.000 0.651
Pb2 0.734 0.500 0.651

Energy of formation from the pure elements ... 0.7253 eV/atom
Symmetry ... Cm

***

CaIrIO2: optimized geometry, PBE-GGA.

Lattice parameters (Å, degrees): 4.180 4.180 6.644 90.00 90.00 90.00
Fractional positions:
Ca1 0.000 0.000 0.000
Ir1 0.500 0.500 0.500
I1 0.000 0.000 0.500
O1 0.000 0.500 0.000
O2 0.500 0.000 0.000

Energy above the lowest structure with this stoichiometry ... 0.769 eV per atom
Raw formation energy ... 0.231 eV/atom
Symmetry ... P4/mmm

***

Tb7Pm12Er: optimized geometry, PBE-GGA.

Lattice parameters (Å, degrees): 11.511 11.511 11.511 116.84 116.84 116.84
Fractional positions:
Tb1 0.000 0.000 0.000
Tb2 0.129 0.374 0.374
Tb3 0.374 0.129 0.374
Tb4 0.374 0.374 0.129
Tb5 0.626 0.626 0.871
Tb6 0.626 0.871 0.626
Tb7 0.871 0.626 0.626
Pm1 0.000 0.413 0.587
Pm2 0.000 0.587 0.413
Pm3 0.087 0.087 0.441
Pm4 0.087 0.441 0.087
Pm5 0.413 0.000 0.587
Pm6 0.413 0.587 0.000
Pm7 0.441 0.087 0.087
Pm8 0.559 0.913 0.913
Pm9 0.587 0.000 0.413
Pm10 0.587 0.413 0.000
Pm11 0.913 0.559 0.913
Pm12 0.913 0.913 0.559
Er1 0.500 0.500 0.500

Energy above the lowest structure with this stoichiometry ... 0.000 eV per atom
Energy of formation from the pure elements ... 0.2374 eV/atom
Symmetry ... R-3m

***

BaIn12Ir6: optimized geometry, PBE-GGA.

Lattice parameters (Å, degrees): 7.919 7.919 7.919 105.47 105.47 105.47
Fractional positions:
Ba1 0.000 0.000 0.000
In1 0.123 0.500 0.877
In2 0.123 0.877 0.500
In3 0.154 0.421 0.421
In4 0.421 0.154 0.421
In5 0.421 0.421 0.154
In6 0.500 0.123 0.877
In7 0.500 0.877 0.123
In8 0.579 0.579 0.846
In9 0.579 0.846 0.579
In10 0.846 0.579 0.579
In11 0.877 0.123 0.500
In12 0.877 0.500 0.123
Ir1 0.263 0.263 0.680
Ir2 0.263 0.680 0.263
Ir3 0.320 0.737 0.737
Ir4 0.680 0.263 0.263
Ir5 0.737 0.320 0.737
Ir6 0.737 0.737 0.320

Energy of formation from the pure elements ... -0.1835 eV/atom
Symmetry ... R-3m

***

Ac7Tl2Os2: optimized geometry, PBE-GGA.

Lattice parameters (Å, degrees): 7.485 7.485 7.668 90.00 90.00 107.72
Fractional positions:
Ac1 0.000 0.000 0.000
Ac2 0.000 0.500 0.247
Ac3 0.000 0.500 0.753
Ac4 0.500 0.000 0.247
Ac5 0.500 0.000 0.753
Ac6 0.500 0.500 0.241
Ac7 0.500 0.500 0.759
Tl1 0.170 0.170 0.500
Tl2 0.830 0.830 0.500
Os1 0.295 0.705 0.000
Os2 0.705 0.295 0.000

Energy of formation from the pure elements ... -0.1014 eV/atom
Symmetry ... Cmmm